Entry 1:
# Tl2InCoPd

Tl2InCoPd at its PBEsol-relaxed geometry (SCAN, Alexandria via LeMat-Bulk).

```
5
Lattice="5.465 0.000 0.000 0.000 5.465 0.000 0.000 0.000 4.928" Properties=species:S:1:pos:R:3 pbc="T T T"
Tl 0.000 2.733 0.000
Tl 2.733 0.000 0.000
In 0.000 0.000 0.000
Co 2.733 2.733 2.464
Pd 0.000 0.000 2.464
```

- Volume: 147 Å³ per cell
- Electronic total energy: -44.6514 eV/atom
- N(E_F): 2.444 states/eV/cell
- Formation enthalpy at 0 K: 0.98 eV per atom

---

Entry 2:
# CsSrCr3

CsSrCr3 at its PBEsol-relaxed geometry (SCAN, Alexandria via LeMat-Bulk).

```
5
Lattice="5.163 0.000 0.000 0.000 5.163 0.000 0.000 0.000 5.163" Properties=species:S:1:pos:R:3 pbc="T T T"
Cs 0.000 0.000 0.000
Sr 2.581 2.581 2.581
Cr 0.000 0.000 2.581
Cr 0.000 2.581 0.000
Cr 2.581 0.000 0.000
```

- Volume: 138 Å³ per cell
- Electronic total energy: -21.1032 eV/atom
- N(E_F): 4.932 states/eV/cell
- Formation enthalpy at 0 K: 1.94 eV per atom

---

Entry 3:
# LaSn3Ru

LaSn3Ru at its PBEsol-relaxed geometry (SCAN, Alexandria via LeMat-Bulk).

```
5
Lattice="5.077 0.000 0.000 0.000 5.077 0.000 0.000 0.000 5.077" Properties=species:S:1:pos:R:3 pbc="T T T"
La 0.000 0.000 0.000
Sn 0.000 2.539 2.539
Sn 2.539 0.000 2.539
Sn 2.539 2.539 0.000
Ru 2.539 2.539 2.539
```

- Volume: 131 Å³ per cell
- Electronic total energy: -37.2787 eV/atom
- N(E_F): 5.030 states/eV/cell
- Formation enthalpy at 0 K: -0.14 eV per atom

---

Entry 4:
# AlRe2Mo

AlRe2Mo at its PBEsol-relaxed geometry (SCAN, Alexandria via LeMat-Bulk).

```
4
Lattice="2.403 -1.388 0.000 2.403 1.388 0.000 -1.612 0.000 8.916" Properties=species:S:1:pos:R:3 pbc="T T T"
Al 0.000 0.000 0.000
Re 1.598 0.000 4.352
Re 3.199 0.000 2.221
Mo -0.007 0.000 6.639
```

- Volume: 59 Å³ per cell
- Electronic total energy: -46.2172 eV/atom
- N(E_F): 2.926 states/eV/cell
- Formation enthalpy at 0 K: -0.01 eV per atom

---

Entry 5:
# InHg4

InHg4 at its PBEsol-relaxed geometry (SCAN, Alexandria via LeMat-Bulk).

```
5
Lattice="-2.083 2.083 7.297 2.083 -2.083 7.297 2.083 2.083 -7.297" Properties=species:S:1:pos:R:3 pbc="T T T"
In 0.000 0.000 0.000
Hg 2.083 0.000 3.649
Hg 0.000 0.000 5.868
Hg 0.000 0.000 8.726
Hg 0.000 2.083 3.649
```

- Volume: 127 Å³ per cell
- Electronic total energy: -61.1305 eV/atom
- Excess energy over the best structure of this formula in the dataset: 0.065 eV per atom
- N(E_F): 1.653 states/eV/cell
- Formation enthalpy at 0 K: 0.08 eV per atom

---

Entry 6:
# ScPbN2

ScPbN2 at its PBEsol-relaxed geometry (SCAN, Alexandria via LeMat-Bulk).

```
4
Lattice="1.692 0.977 6.267 -1.692 0.977 6.267 0.000 -1.954 6.267" Properties=species:S:1:pos:R:3 pbc="T T T"
Sc 0.000 0.000 0.000
Pb 0.000 0.000 9.401
N 0.000 0.000 7.305
N 0.000 0.000 11.496
```

- Volume: 62 Å³ per cell
- ΔE_f (raw): -298 meV per atom
- Electronic total energy: -27.4480 eV/atom
- N(E_F): 1.820 states/eV/cell

---

Entry 7:
# LiZnTe2

LiZnTe2 at its PBEsol-relaxed geometry (SCAN, Alexandria via LeMat-Bulk).

```
8
Lattice="-3.202 3.202 5.497 3.202 -3.202 5.497 3.202 3.202 -5.497" Properties=species:S:1:pos:R:3 pbc="T T T"
Li 0.000 0.000 0.000
Li 0.000 3.202 2.749
Zn 3.202 0.000 2.749
Zn 0.000 0.000 5.497
Te 1.601 -1.516 4.123
Te 1.686 1.601 1.374
Te 1.601 4.718 -1.374
Te 1.516 1.601 6.872
```

- Volume: 225 Å³ per cell
- ΔE_f (raw): -456 meV per atom
- Electronic total energy: -23.0577 eV/atom
- N(E_F): 6.196 states/eV/cell

---

Entry 8:
# BeTcSb2

BeTcSb2 at its PBEsol-relaxed geometry (SCAN, Alexandria via LeMat-Bulk).

```
4
Lattice="3.320 0.000 0.000 0.000 4.535 0.000 0.000 0.000 4.559" Properties=species:S:1:pos:R:3 pbc="T T T"
Be 0.000 0.000 0.000
Tc 0.000 2.268 2.279
Sb 1.660 0.000 2.279
Sb 1.660 2.268 0.000
```

- Volume: 69 Å³ per cell
- ΔE_f (raw): 569 meV per atom
- Electronic total energy: -27.9149 eV/atom
- N(E_F): 2.331 states/eV/cell

---

Entry 9:
# TiIn2BRu

TiIn2BRu at its PBEsol-relaxed geometry (SCAN, Alexandria via LeMat-Bulk).

```
5
Lattice="5.069 0.000 0.000 0.000 5.069 0.000 0.000 0.000 4.444" Properties=species:S:1:pos:R:3 pbc="T T T"
Ti 0.000 0.000 0.000
In 0.000 2.535 2.222
In 2.535 0.000 2.222
B 2.535 2.535 0.000
Ru 0.000 0.000 2.222
```

- Volume: 114 Å³ per cell
- Electronic total energy: -23.9887 eV/atom
- N(E_F): 3.380 states/eV/cell
- Formation enthalpy at 0 K: 1.02 eV per atom

---

Entry 10:
# MgIn2W

MgIn2W at its PBEsol-relaxed geometry (SCAN, Alexandria via LeMat-Bulk).

```
4
Lattice="3.008 -4.693 0.000 3.008 4.693 0.000 -1.129 0.000 2.732" Properties=species:S:1:pos:R:3 pbc="T T T"
Mg 0.000 0.000 0.000
In 0.940 2.347 1.366
In 0.940 -2.347 1.366
W 3.008 0.000 0.000
```

- Volume: 77 Å³ per cell
- Electronic total energy: -34.9049 eV/atom
- N(E_F): 2.140 states/eV/cell
- Formation enthalpy at 0 K: 0.45 eV per atom

---

Entry 11:
# TaRe2Hg

TaRe2Hg at its PBEsol-relaxed geometry (SCAN, Alexandria via LeMat-Bulk).

```
4
Lattice="-1.989 1.989 4.064 1.989 -1.989 4.064 1.989 1.989 -4.064" Properties=species:S:1:pos:R:3 pbc="T T T"
Ta 0.000 0.000 0.000
Re 1.989 0.000 2.032
Re 0.000 0.000 4.064
Hg 0.000 1.989 2.032
```

- Volume: 64 Å³ per cell
- Electronic total energy: -68.8733 eV/atom
- N(E_F): 1.524 states/eV/cell
- Formation enthalpy at 0 K: 0.36 eV per atom

---

Entry 12:
# HgS2NCl

HgS2NCl at its PBEsol-relaxed geometry (SCAN, Alexandria via LeMat-Bulk).

```
5
Lattice="4.147 0.000 0.000 0.000 4.147 0.000 0.000 0.000 4.541" Properties=species:S:1:pos:R:3 pbc="T T T"
Hg 0.000 0.000 0.000
S 0.000 2.073 2.270
S 2.073 0.000 2.270
N 2.073 2.073 2.270
Cl 2.073 2.073 0.000
```

- Volume: 78 Å³ per cell
- ΔE_f (raw): 1079 meV per atom
- Electronic total energy: -19.8590 eV/atom
- N(E_F): 2.303 states/eV/cell

---

Entry 13:
# NaCa2PdBr

NaCa2PdBr at its PBEsol-relaxed geometry (SCAN, Alexandria via LeMat-Bulk).

```
5
Lattice="5.577 0.000 0.000 0.000 5.577 0.000 0.000 0.000 4.898" Properties=species:S:1:pos:R:3 pbc="T T T"
Na 0.000 0.000 0.000
Ca 0.000 2.789 2.449
Ca 2.789 0.000 2.449
Pd 2.789 2.789 0.000
Br 2.789 2.789 2.449
```

- Volume: 152 Å³ per cell
- ΔE_f (raw): -262 meV per atom
- Electronic total energy: -15.4170 eV/atom
- N(E_F): 3.252 states/eV/cell

---

Entry 14:
# HfBeTlF2

HfBeTlF2 at its PBEsol-relaxed geometry (SCAN, Alexandria via LeMat-Bulk).

```
5
Lattice="4.034 0.000 0.000 0.000 4.034 0.000 0.000 0.000 5.427" Properties=species:S:1:pos:R:3 pbc="T T T"
Hf 0.000 0.000 0.000
Be 0.000 0.000 2.714
Tl 2.017 2.017 2.714
F 0.000 2.017 0.000
F 2.017 0.000 0.000
```

- Volume: 88 Å³ per cell
- ΔE_f (raw): -1502 meV per atom
- Electronic total energy: -30.7949 eV/atom
- N(E_F): 1.753 states/eV/cell

---

Entry 15:
# InPt2Cl

InPt2Cl at its PBEsol-relaxed geometry (SCAN, Alexandria via LeMat-Bulk).

```
4
Lattice="2.839 -4.082 0.000 2.839 4.082 0.000 0.000 0.000 2.925" Properties=species:S:1:pos:R:3 pbc="T T T"
In 0.000 0.000 0.000
Pt 1.420 2.041 1.462
Pt 1.420 -2.041 1.462
Cl 2.839 0.000 0.000
```

- Volume: 68 Å³ per cell
- ΔE_f (raw): 291 meV per atom
- Electronic total energy: -45.1465 eV/atom
- Excess energy over the best structure of this formula in the dataset: 0.261 eV per atom
- N(E_F): 3.030 states/eV/cell

---

Entry 16:
# Y2TiHN

Y2TiHN at its PBEsol-relaxed geometry (SCAN, Alexandria via LeMat-Bulk).

```
5
Lattice="4.649 0.000 0.000 0.000 4.649 0.000 0.000 0.000 3.532" Properties=species:S:1:pos:R:3 pbc="T T T"
Y 0.000 2.325 0.000
Y 2.325 0.000 0.000
Ti 0.000 0.000 1.766
H 0.000 0.000 0.000
N 2.325 2.325 1.766
```

- Volume: 76 Å³ per cell
- Electronic total energy: -16.6630 eV/atom
- N(E_F): 3.469 states/eV/cell

---

Entry 17:
# CrI3

CrI3 at its PBEsol-relaxed geometry (SCAN, Alexandria via LeMat-Bulk).

```
24
Lattice="6.816 0.000 0.000 -3.408 5.902 0.000 0.000 0.000 19.997" Properties=species:S:1:pos:R:3 pbc="T T T"
Cr 0.000 1.233 3.333
Cr -2.340 5.286 16.664
Cr -1.069 3.318 9.998
Cr 1.069 3.318 16.664
Cr 0.000 5.169 3.333
Cr 2.340 5.286 9.998
I -0.077 1.351 8.458
I -2.276 5.160 11.539
I -0.995 3.202 4.870
I -1.132 3.439 15.126
I 0.077 1.351 18.205
I -2.199 5.294 1.792
I 2.198 1.109 4.881
I 2.060 1.349 15.116
I 0.995 3.202 1.795
I -0.137 5.163 18.201
I 1.132 3.439 11.536
I 0.137 5.163 8.461
I 4.617 1.109 1.785
I 3.269 3.444 18.212
I 2.276 5.160 15.123
I 2.199 5.294 4.874
I 4.756 1.349 11.546
I 3.546 3.444 8.451
```

- Volume: 804 Å³ per cell
- ΔE_f (raw): -630 meV per atom
- Electronic total energy: -32.7828 eV/atom
- N(E_F): 0.000 states/eV/cell

---

Entry 18:
# Ta3MoPt

Ta3MoPt at its PBEsol-relaxed geometry (SCAN, Alexandria via LeMat-Bulk).

```
5
Lattice="4.767 0.000 0.000 0.000 4.767 0.000 0.000 0.000 4.767" Properties=species:S:1:pos:R:3 pbc="T T T"
Ta 0.000 0.000 2.384
Ta 0.000 2.384 0.000
Ta 2.384 0.000 0.000
Mo 2.384 2.384 2.384
Pt 0.000 0.000 0.000
```

- Volume: 108 Å³ per cell
- Electronic total energy: -59.5240 eV/atom
- N(E_F): 5.463 states/eV/cell
- Formation enthalpy at 0 K: 1.44 eV per atom

---

Entry 19:
# TiBi2Pt

TiBi2Pt at its PBEsol-relaxed geometry (SCAN, Alexandria via LeMat-Bulk).

```
8
Lattice="-2.249 2.249 9.212 2.249 -2.249 9.212 2.249 2.249 -9.212" Properties=species:S:1:pos:R:3 pbc="T T T"
Ti 0.000 0.000 0.000
Ti 0.000 2.249 4.606
Bi 3.374 1.120 -2.303
Bi 1.120 1.125 2.303
Bi -1.125 1.130 6.909
Bi 1.130 1.125 11.515
Pt 2.249 0.000 4.606
Pt 0.000 0.000 9.212
```

- Volume: 186 Å³ per cell
- Electronic total energy: -60.7134 eV/atom
- Excess energy over the best structure of this formula in the dataset: 0.000 eV per atom
- N(E_F): 6.270 states/eV/cell
- Formation enthalpy at 0 K: 0.13 eV per atom

---

Entry 20:
# Li2TiTeSe

Li2TiTeSe at its PBEsol-relaxed geometry (SCAN, Alexandria via LeMat-Bulk).

```
5
Lattice="4.681 0.000 0.000 0.000 4.681 0.000 0.000 0.000 6.164" Properties=species:S:1:pos:R:3 pbc="T T T"
Li 0.000 2.340 0.000
Li 2.340 0.000 0.000
Ti 0.000 0.000 3.082
Te 2.340 2.340 0.000
Se 2.340 2.340 3.082
```

- Volume: 135 Å³ per cell
- ΔE_f (raw): 74 meV per atom
- Electronic total energy: -15.5536 eV/atom
- N(E_F): 2.750 states/eV/cell